(1)
This record from Alexandria via LeMat-Bulk describes a relaxed YMnCd2 crystal. The functional is PBE-GGA.

Calculated values
Its calculated formation energy is 0.189 eV/atom. The volume is 23.21 A^3/atom.

Lattice parameters (Å, degrees): 3.3467 3.3467 28.7157 90.00 90.00 120.00
Last column: nearest neighbours and their distance in Å.
Space group R-3m (No. 166, hexagonal axes)
One atom of each set of equivalent atoms:
Y  0.0000  0.0000  0.0000 (multiplicity 3)  6 Cd 3.28, 6 Y 3.35
Mn  0.0000  0.0000  0.5000 (multiplicity 3)  6 Cd 2.88
Cd  0.0000  0.0000  0.2411 (multiplicity 6)  3 Mn 2.88

***

(2)
This record from Alexandria via LeMat-Bulk describes a relaxed VPAuS2 crystal. The functional is PBE-GGA.

Calculated values
As for the uncorrected formation energy: 1212 meV per atom. The energy relative to the lowest polymorph listed for this composition is 4.68 eV per formula unit. The volume is 21.90 A^3/atom.

Lattice parameters (Å, degrees): 4.8538 4.8538 4.6468 90.00 90.00 90.00
Last column: nearest neighbours and their distance in Å.
Space group P4/mmm (No. 123)
One atom of each set of equivalent atoms:
V  0.0000  0.0000  0.0000 (multiplicity 1)  8 S 3.36, 4 P 3.43
P  0.5000  0.5000  0.0000 (multiplicity 1)  2 Au 2.32
Au  0.5000  0.5000  0.5000 (multiplicity 1)  2 P 2.32, 4 S 2.43
S  0.0000  0.5000  0.5000 (multiplicity 2)  2 Au 2.43

***

(3)
This record from Alexandria via LeMat-Bulk describes a relaxed ReNi2Pt crystal. The functional is PBE-GGA.

Calculated values
Its calculated formation energy is 0.553 eV/atom. The energy relative to the lowest polymorph listed for this composition is 2.54 eV per formula unit. The volume is 14.36 A^3/atom.

Lattice parameters (Å, degrees): 6.6349 6.6349 5.2197 90.00 90.00 90.00
Last column: nearest neighbours and their distance in Å.
Space group I-42d (No. 122)
One atom of each set of equivalent atoms:
Re  0.0000  0.0000  0.0000 (multiplicity 4)  4 Ni 2.37, 2 Pt 2.61
Ni  0.2346  0.7500  0.1250 (multiplicity 8)  2 Re 2.37, 2 Pt 2.51, 2 Ni 2.62
Pt  0.0000  0.0000  0.5000 (multiplicity 4)  4 Ni 2.51, 2 Re 2.61

***

(4)
This record from Alexandria via LeMat-Bulk describes a relaxed YLuTe3 crystal. The functional is PBE-GGA.

Calculated values
As for the uncorrected formation energy: -1285 meV per atom. The energy relative to the lowest polymorph listed for this composition is 0.53 eV per formula unit. The volume is 32.64 A^3/atom.

Lattice parameters (Å, degrees): 7.9320 11.3170 7.2713 90.00 90.00 90.00
Last column: nearest neighbours and their distance in Å.
Space group Pnma (No. 62)
One atom of each set of equivalent atoms:
Y  0.0000  0.0000  0.0000 (multiplicity 4)  6 Te 2.98-3.11
Lu  0.1231  0.2500  0.4440 (multiplicity 4)  6 Te 3.03-3.20
Te  0.0545  0.7500  0.1684 (multiplicity 4)  2 Lu 3.03-3.15, 2 Y 3.11
Te  0.1726  0.5871  0.6624 (multiplicity 8)  2 Y 2.98-3.02, 2 Lu 3.08-3.20